# Ba2Tl3MoO6, relaxed, DFT GGA+U
data_Ba2Tl3MoO6
_space_group_name_H-M_alt 'C 1 2/m 1'
_space_group_IT_number 12
_cell_length_a 6.594
_cell_length_b 11.001
_cell_length_c 7.224
_cell_angle_alpha 90.00
_cell_angle_beta 113.20
_cell_angle_gamma 90.00
loop_
_space_group_symop_operation_xyz
'x,y,z'
'-x,-y,-z'
'-x,y,-z'
'x,-y,z'
'x+1/2,y+1/2,z'
'-x+1/2,-y+1/2,-z'
'-x+1/2,y+1/2,-z'
'x+1/2,-y+1/2,z'
loop_
_atom_site_label
_atom_site_fract_x
_atom_site_fract_y
_atom_site_fract_z
Ba1 0.000 0.166 0.000
Tl1 0.000 0.000 0.500
Tl2 0.000 0.349 0.500
Mo1 0.000 0.500 0.000
O1 0.159 0.500 0.812
O2 0.202 0.373 0.158
# - Size of the total moment: 0.000 μB per formula unit
# - N(E_F): 4.61 states/eV/cell
# - ρ: 7.44 g cm⁻³
# - Total DFT energy (no corrections): -5.56 eV per atom